DFT (GGA+U) results for a geometry-optimized LiMnSiO4 structure.

Summary:
**Calculated density**: 3.510 g cm⁻³
**Total energy**: -201.2 eV/cell
**Spin magnetization**: 4.0 μB/f.u.

Lattice parameters (Å, degrees): 4.8147 6.0195 10.0515 90.00 90.00 90.00
With the nearest neighbours (Å) after each atom.
Space group P2_12_12_1 (No. 19)
Asymmetric unit:
1 Li 0.9996 0.2294 0.2495  6 O 2.10-2.24
2 Mn 0.0192 0.5024 0.9756  4 O 1.93-2.05
3 Si 0.0648 0.0213 0.8434  4 O 1.63-1.67
4 O 0.1849 0.0149 0.6898  1 Si 1.65
5 O 0.2180 0.2424 0.9107  1 Si 1.67
6 O 0.2269 0.4867 0.1461  1 Si 1.63
7 O 0.2298 0.8164 0.9222  1 Si 1.67